CaZr2Tc: optimized geometry, PBE.

Total DFT energy (no corrections) (eV per atom): -7.154
Total magnetization (μB per cell): 0.0
Energy of formation from the pure elements (kcal/mol of atoms): 4.88

abc: 4.5583 3.2459 6.6500
angles: 75.61 90.00 90.00
Positions (direct):
Ca: 0.0000 0.5768 0.5190
Tc: 0.5000 0.7124 0.8164
Zr: 0.0000 0.9364 0.9753
Zr: 0.5000 0.2744 0.1893